A plane-wave DFT calculation with PBE was carried out for a relaxed structure of Sr2CdBr6.

Output
E_tot   -3.272 eV/atom
ρ   4.27 g/cm³
Calculated volume   33.1 A^3/atom

The structure in POSCAR format:
```
Sr2CdBr6
1.0
7.209 0.000 0.000
0.000 7.816 0.000
-6.236 0.000 10.588
Sr Cd Br
4 2 12
direct
0.183 0.103 0.233
0.183 0.397 0.733
0.817 0.603 0.267
0.817 0.897 0.767
0.500 0.000 0.000
0.500 0.500 0.500
0.127 0.183 0.943
0.127 0.317 0.443
0.246 0.690 0.922
0.246 0.810 0.422
0.410 0.051 0.757
0.410 0.449 0.257
0.590 0.551 0.743
0.590 0.949 0.243
0.754 0.190 0.578
0.754 0.310 0.078
0.873 0.683 0.557
0.873 0.817 0.057
```